Record 1
Density functional theory data (GGA-PBE) for an optimized crystal structure of Ag2HgPt.

Computed properties:
Its energy of formation is 0.227 eV/f.u. For the theoretical density, the calculation gives 13.9 g cm⁻³. As for the total energy: -2.95 eV per atom. The total magnetization comes out at 0.0 μB per cell. As for the space-group type: P2/m.

abc: 2.950 4.968 4.991
angles: 90.00 92.12 90.00
Sites, in units of the cell vectors:
Ag (0.249, 0.000, 0.256)
Ag (0.751, 0.000, 0.744)
Hg (0.500, 0.500, 0.000)
Pt (0.000, 0.500, 0.500)

Record 2
Density functional theory data (GGA-PBE) for an optimized crystal structure of TiBeNb2Ru.

Computed properties:
Its energy of formation is 6.716 eV/f.u. For the theoretical density, the calculation gives 5.9 g cm⁻³. As for the total energy: -6.86 eV per atom. The total magnetization comes out at 0.2 μB per cell. As for the space-group type: P4/mmm.

abc: 4.695 4.695 4.416
angles: 90.00 90.00 90.00
Sites, in units of the cell vectors:
Ti (0.000, 0.000, 0.000)
Be (0.500, 0.500, 0.500)
Nb (0.000, 0.500, 0.000)
Nb (0.500, 0.000, 0.000)
Ru (0.000, 0.000, 0.500)

Record 3
Density functional theory data (GGA-PBE) for an optimized crystal structure of NaPt2.

Computed properties:
Its energy of formation is 0.325 eV/f.u. The energy relative to the lowest polymorph listed for this composition is 0.495 eV/atom. For the theoretical density, the calculation gives 10.1 g cm⁻³. As for the total energy: -4.36 eV per atom. The total magnetization comes out at 0.0 μB per cell. As for the space-group type: I4_1/amd.

abc: 4.282 4.282 14.793
angles: 90.00 90.00 90.00
Sites, in units of the cell vectors:
Na (0.000, 0.250, 0.375)
Na (0.000, 0.750, 0.625)
Na (0.500, 0.250, 0.125)
Na (0.500, 0.750, 0.875)
Pt (0.000, 0.250, 0.791)
Pt (0.000, 0.250, 0.959)
Pt (0.000, 0.750, 0.041)
Pt (0.000, 0.750, 0.209)
Pt (0.500, 0.250, 0.541)
Pt (0.500, 0.250, 0.709)
Pt (0.500, 0.750, 0.291)
Pt (0.500, 0.750, 0.459)

Repeat the first record exactly.
Density functional theory data (GGA-PBE) for an optimized crystal structure of Ag2HgPt.

Computed properties:
Its energy of formation is 0.227 eV/f.u. For the theoretical density, the calculation gives 13.9 g cm⁻³. As for the total energy: -2.95 eV per atom. The total magnetization comes out at 0.0 μB per cell. As for the space-group type: P2/m.

abc: 2.950 4.968 4.991
angles: 90.00 92.12 90.00
Sites, in units of the cell vectors:
Ag (0.249, 0.000, 0.256)
Ag (0.751, 0.000, 0.744)
Hg (0.500, 0.500, 0.000)
Pt (0.000, 0.500, 0.500)